DFT (meta-GGA SCAN) results for a PBEsol-optimized structure of AlSi2Br.

Properties
DFT total energy ... -11.223 eV/atom
ΔE_f (raw) ... 0.59 eV per atom
Spin magnetization ... 0.00 μB/f.u.

a = 3.1271 Å, b = 3.1271 Å, c = 7.3842 Å
α = 90.00°, β = 90.00°, γ = 95.64°
Closest atoms and distances in Å follow each position.
Atoms (fractional coordinates):
Al1 0.0000 0.0000 0.0000  8 Si 2.65-2.83
Si1 0.5000 0.5000 0.2193  4 Al 2.65-2.83, 2 Br 2.95
Si2 0.5000 0.5000 0.7807  4 Al 2.65-2.83, 2 Br 2.95
Br1 0.0000 0.0000 0.5000  8 Si 2.95-3.11, 4 Br 3.13

---

DFT (meta-GGA SCAN) results for a PBEsol-optimized structure of SmAl3Br12.

Properties
DFT total energy ... -20.266 eV/atom
ΔE_f (raw) ... -1.44 eV per atom
Spin magnetization ... 0.00 μB/f.u.

a = 10.5773 Å, b = 10.5773 Å, c = 18.3460 Å
α = 90.00°, β = 90.00°, γ = 120.00°
Closest atoms and distances in Å follow each position.
Atoms (fractional coordinates):
Sm1 0.0000 0.7425 0.1667  8 Br 2.90-3.06
Sm2 0.2575 0.2575 0.5000  8 Br 2.90-3.06
Sm3 0.7425 0.0000 0.8333  8 Br 2.90-3.06
Al1 0.0000 0.0851 0.6667  4 Br 2.31-2.32
Al2 0.0851 0.0000 0.3333  4 Br 2.31-2.32
Al3 0.2980 0.6521 0.2318  4 Br 2.26-2.39
Al4 0.3479 0.6458 0.5651  4 Br 2.26-2.39
Al5 0.3542 0.7020 0.8985  4 Br 2.26-2.39
Al6 0.6458 0.3479 0.4349  4 Br 2.26-2.39
Al7 0.6521 0.2980 0.7682  4 Br 2.26-2.39
Al8 0.7020 0.3542 0.1015  4 Br 2.26-2.39
Al9 0.9149 0.9149 0.0000  4 Br 2.31-2.32
Br1 0.0350 0.2239 0.7706  1 Al 2.32
Br2 0.0582 0.1950 0.3682  1 Al 2.31
Br3 0.0724 0.6070 0.2845  1 Al 2.39
Br4 0.1368 0.9418 0.0348  1 Al 2.31
Br5 0.1542 0.7142 0.8666  1 Al 2.26
Br6 0.1889 0.9650 0.4372  1 Al 2.32
Br7 0.1950 0.0582 0.6318  1 Al 2.31
Br8 0.1967 0.6831 0.6374  1 Al 2.26
Br9 0.2239 0.0350 0.2294  1 Al 2.32
Br10 0.2239 0.5105 0.4600  1 Al 2.37
Br11 0.2858 0.4400 0.1999  1 Al 2.26
Br12 0.2867 0.7761 0.1267  1 Al 2.37
Br13 0.3169 0.5136 0.9707  1 Al 2.26
Br14 0.3930 0.4654 0.6178  1 Al 2.39
Br15 0.4400 0.2858 0.8001  1 Al 2.26
Br16 0.4654 0.3930 0.3822  1 Al 2.39
Br17 0.4864 0.8033 0.3040  1 Al 2.26
Br18 0.4895 0.7133 0.7934  1 Al 2.37
Br19 0.5105 0.2239 0.5400  1 Al 2.37
Br20 0.5136 0.3169 0.0293  1 Al 2.26
Br21 0.5346 0.9276 0.9512  1 Al 2.39
Br22 0.5600 0.8458 0.5332  1 Al 2.26
Br23 0.6070 0.0724 0.7155  1 Al 2.39
Br24 0.6831 0.1967 0.3626  1 Al 2.26
Br25 0.7133 0.4895 0.2066  1 Al 2.37
Br26 0.7142 0.1542 0.1334  1 Al 2.26
Br27 0.7761 0.2867 0.8733  1 Al 2.37
Br28 0.7761 0.8111 0.1039  1 Al 2.32
Br29 0.8033 0.4864 0.6960  1 Al 2.26
Br30 0.8050 0.8632 0.7015  1 Al 2.31
Br31 0.8111 0.7761 0.8961  1 Al 2.32
Br32 0.8458 0.5600 0.4668  1 Al 2.26
Br33 0.8632 0.8050 0.2985  1 Al 2.31
Br34 0.9276 0.5346 0.0488  1 Al 2.39
Br35 0.9418 0.1368 0.9652  1 Al 2.31
Br36 0.9650 0.1889 0.5628  1 Al 2.32

---

DFT (meta-GGA SCAN) results for a PBEsol-optimized structure of Al2SnBr.

Properties
DFT total energy ... -17.454 eV/atom
ΔE_f (raw) ... 0.27 eV per atom
Spin magnetization ... 0.00 μB/f.u.

a = 4.9745 Å, b = 4.9745 Å, c = 4.9745 Å
α = 60.00°, β = 60.00°, γ = 60.00°
Closest atoms and distances in Å follow each position.
Atoms (fractional coordinates):
Al1 0.2500 0.2500 0.2500  4 Sn 3.05, 4 Br 3.05
Al2 0.7500 0.7500 0.7500  4 Sn 3.05, 4 Br 3.05
Sn1 0.0000 0.0000 0.0000  8 Al 3.05
Br1 0.5000 0.5000 0.5000  8 Al 3.05

---

Number 1: volume 17.97 A^3/atom, density of states at the Fermi level 2.3 states/eV/cell. Number 2: volume 37.03 A^3/atom, density of states at the Fermi level 0.0 states/eV/cell. Number 3: volume 21.76 A^3/atom, density of states at the Fermi level 2.3 states/eV/cell.